A relaxed structure of CaPt2Au, computed with GGA-PBE.

Cell: 3.5850 3.5850 5.9306 Å, 90.00 90.00 90.00°
Element x y z (fractional)
Ca: 0.5000 0.5000 0.7552
Au: 0.0000 0.0000 0.4832
Pt: 0.0000 0.0000 0.0250
Pt: 0.5000 0.5000 0.2367

Output
Formation energy from the elements = -0.3296 eV/atom
D(E_F) = 4.09 states/eV per cell
Space-group type = P4mm, No. 99
Electronic total energy = -4.67 eV/atom
Total moment = 0.0 μB/f.u.